Computed, not measured: a relaxed Ce5HoSn6 crystal at the PBE-GGA level of DFT.

Calculated values
Uncorrected energy = -5.45 eV per atom
Formation enthalpy at 0 K = -0.593 eV per atom

Cell lengths 4.9355, 8.9714, 7.7979 Å; angles 90.00, 108.20, 90.00 degrees
Sites, in units of the cell vectors:
Ce1 0.0000 0.0000 0.0000
Ce2 0.3330 0.0000 0.6659
Ce3 0.3335 0.5000 0.6667
Ce4 0.6665 0.5000 0.3333
Ce5 0.6670 0.0000 0.3341
Ho1 0.0000 0.5000 0.0000
Sn1 0.1646 0.2519 0.3292
Sn2 0.1646 0.7481 0.3292
Sn3 0.5000 0.2534 0.0000
Sn4 0.5000 0.7466 0.0000
Sn5 0.8354 0.2519 0.6708
Sn6 0.8354 0.7481 0.6708

Computed, not measured: a relaxed Ca2GdS crystal at the PBE-GGA level of DFT.

Calculated values
Uncorrected energy = -6.35 eV per atom
Formation energy without anion corrections = -793 meV/atom

Cell lengths 10.6118, 10.6118, 10.6118 Å; angles 20.46, 20.46, 20.46 degrees
Sites, in units of the cell vectors:
Ca1 0.1109 0.1109 0.1109
Ca2 0.8891 0.8891 0.8891
Gd1 0.0000 0.0000 0.0000
S1 0.5000 0.5000 0.5000

Computed, not measured: a relaxed Pu2CCl crystal at the PBE-GGA level of DFT.

Calculated values
Uncorrected energy = -10.53 eV per atom
Formation energy without anion corrections = -597 meV/atom

Cell lengths 3.4054, 5.4077, 8.6282 Å; angles 90.00, 90.00, 90.00 degrees
Sites, in units of the cell vectors:
Pu1 0.2500 0.2500 0.0873
Pu2 0.2500 0.2500 0.6887
Pu3 0.7500 0.7500 0.3113
Pu4 0.7500 0.7500 0.9127
C1 0.2500 0.7500 0.1201
C2 0.7500 0.2500 0.8799
Cl1 0.2500 0.7500 0.6228
Cl2 0.7500 0.2500 0.3772

Computed, not measured: a relaxed Tb2ErMgN crystal at the PBE-GGA level of DFT.

Calculated values
Uncorrected energy = -5.46 eV per atom
Formation energy without anion corrections = -706 meV/atom

Cell lengths 4.9217, 4.9217, 4.7738 Å; angles 90.00, 90.00, 90.00 degrees
Sites, in units of the cell vectors:
Tb1 0.0000 0.5000 0.0000
Tb2 0.5000 0.0000 0.0000
Er1 0.0000 0.0000 0.5000
Mg1 0.5000 0.5000 0.5000
N1 0.0000 0.0000 0.0000

Computed, not measured: a relaxed BaCdNiH6 crystal at the PBE-GGA level of DFT.

Calculated values
Uncorrected energy = -3.34 eV per atom

Cell lengths 4.8334, 4.8334, 5.1021 Å; angles 90.00, 90.00, 120.00 degrees
Sites, in units of the cell vectors:
Ba1 0.0000 0.0000 0.0000
Cd1 0.3333 0.6667 0.5000
Ni1 0.6667 0.3333 0.5000
H1 0.5262 0.0523 0.2745
H2 0.5262 0.0523 0.7255
H3 0.5262 0.4738 0.2745
H4 0.5262 0.4738 0.7255
H5 0.9477 0.4738 0.2745
H6 0.9477 0.4738 0.7255

Computed, not measured: a relaxed Pb5SeS4 crystal at the PBE-GGA level of DFT.

Calculated values
Uncorrected energy = -4.39 eV per atom
Formation energy without anion corrections = -537 meV/atom

Cell lengths 15.4094, 15.4094, 15.4094 Å; angles 164.05, 164.05, 22.62 degrees
Sites, in units of the cell vectors:
Pb1 0.0000 0.0000 0.0000
Pb2 0.2000 0.2000 0.0000
Pb3 0.3976 0.3976 0.0000
Pb4 0.6024 0.6024 0.0000
Pb5 0.8000 0.8000 0.0000
Se1 0.5000 0.5000 0.0000
S1 0.1010 0.1010 0.0000
S2 0.2994 0.2994 0.0000
S3 0.7006 0.7006 0.0000
S4 0.8990 0.8990 0.0000

Computed, not measured: a relaxed ScBe6 crystal at the PBE-GGA level of DFT.

Calculated values
Uncorrected energy = -4.23 eV per atom
Formation enthalpy at 0 K = -0.136 eV per atom

Cell lengths 7.1792, 4.3221, 9.0324 Å; angles 90.00, 90.00, 90.00 degrees
Sites, in units of the cell vectors:
Sc1 0.2353 0.2500 0.0585
Sc2 0.2647 0.7500 0.5585
Sc3 0.7353 0.2500 0.4415
Sc4 0.7647 0.7500 0.9415
Be1 0.0536 0.7500 0.1040
Be2 0.0623 0.0041 0.3107
Be3 0.0623 0.4959 0.3107
Be4 0.0799 0.2500 0.5180
Be5 0.1442 0.7500 0.8538
Be6 0.1941 0.2500 0.7437
Be7 0.3059 0.7500 0.2437
Be8 0.3558 0.2500 0.3538
Be9 0.4201 0.7500 0.0180
Be10 0.4377 0.5041 0.8107
Be11 0.4377 0.9959 0.8107
Be12 0.4464 0.2500 0.6040
Be13 0.5536 0.7500 0.3960
Be14 0.5623 0.0041 0.1893
Be15 0.5623 0.4959 0.1893
Be16 0.5799 0.2500 0.9820
Be17 0.6442 0.7500 0.6462
Be18 0.6941 0.2500 0.7563
Be19 0.8059 0.7500 0.2563
Be20 0.8558 0.2500 0.1462
Be21 0.9201 0.7500 0.4820
Be22 0.9377 0.5041 0.6893
Be23 0.9377 0.9959 0.6893
Be24 0.9464 0.2500 0.8960

Computed, not measured: a relaxed GaHg crystal at the PBE-GGA level of DFT.

Calculated values
Uncorrected energy = -1.61 eV per atom
Formation enthalpy at 0 K = 0.053 eV per atom

Cell lengths 7.9100, 7.9100, 7.9100 Å; angles 155.24, 49.91, 137.38 degrees
Sites, in units of the cell vectors:
Ga1 0.0000 0.0000 0.0000
Ga2 0.1053 0.4576 0.6478
Ga3 0.8098 0.4576 0.3522
Hg1 0.2771 0.9613 0.3158
Hg2 0.4939 0.4939 0.0000
Hg3 0.6456 0.9613 0.6842

Computed, not measured: a relaxed BeSn crystal at the PBE-GGA level of DFT.

Calculated values
Uncorrected energy = -3.48 eV per atom
Formation enthalpy at 0 K = 0.387 eV per atom

Cell lengths 6.4704, 6.4704, 6.4704 Å; angles 96.19, 96.19, 141.68 degrees
Sites, in units of the cell vectors:
Be1 0.0559 0.1706 0.2265
Be2 0.1706 0.9441 0.1146
Be3 0.8294 0.0559 0.8854
Be4 0.9441 0.8294 0.7735
Sn1 0.1706 0.6435 0.8142
Sn2 0.3565 0.1706 0.5271
Sn3 0.6435 0.8294 0.4729
Sn4 0.8294 0.3565 0.1858

Computed, not measured: a relaxed Mg12HgPb6 crystal at the PBE-GGA level of DFT.

Calculated values
Uncorrected energy = -2.19 eV per atom
Formation enthalpy at 0 K = 0.002 eV per atom

Cell lengths 8.2820, 8.2820, 8.2820 Å; angles 99.46, 99.46, 99.46 degrees
Sites, in units of the cell vectors:
Mg1 0.0136 0.3182 0.8775
Mg2 0.1225 0.9864 0.6818
Mg3 0.1924 0.6357 0.4752
Mg4 0.3182 0.8775 0.0136
Mg5 0.3643 0.5248 0.8076
Mg6 0.4752 0.1924 0.6357
Mg7 0.5248 0.8076 0.3643
Mg8 0.6357 0.4752 0.1924
Mg9 0.6818 0.1225 0.9864
Mg10 0.8076 0.3643 0.5248
Mg11 0.8775 0.0136 0.3182
Mg12 0.9864 0.6818 0.1225
Hg1 0.5000 0.5000 0.5000
Pb1 0.0250 0.6516 0.7705
Pb2 0.2295 0.9750 0.3484
Pb3 0.3484 0.2295 0.9750
Pb4 0.6516 0.7705 0.0250
Pb5 0.7705 0.0250 0.6516
Pb6 0.9750 0.3484 0.2295

Computed, not measured: a relaxed EuTmLu crystal at the PBE-GGA level of DFT.

Calculated values
Uncorrected energy = -6.34 eV per atom
Formation enthalpy at 0 K = 0.079 eV per atom

Cell lengths 3.5792, 3.5792, 8.7699 Å; angles 90.00, 90.00, 120.00 degrees
Sites, in units of the cell vectors:
Eu1 0.0000 0.0000 0.0000
Tm1 0.6667 0.3333 0.3478
Lu1 0.3333 0.6667 0.6556

Computed, not measured: a relaxed Be3Al crystal at the PBE-GGA level of DFT.

Calculated values
Uncorrected energy = -3.39 eV per atom
Formation enthalpy at 0 K = 0.341 eV per atom

Cell lengths 5.0682, 5.0682, 3.6482 Å; angles 90.00, 90.00, 99.24 degrees
Sites, in units of the cell vectors:
Be1 0.0549 0.6266 0.2500
Be2 0.0792 0.9208 0.7500
Be3 0.3734 0.9451 0.2500
Be4 0.6266 0.0549 0.7500
Be5 0.9208 0.0792 0.2500
Be6 0.9451 0.3734 0.7500
Al1 0.3818 0.6182 0.7500
Al2 0.6182 0.3818 0.2500

Computed, not measured: a relaxed ScRh2Se2 crystal at the PBE-GGA level of DFT.

Calculated values
Uncorrected energy = -6.02 eV per atom
Formation energy without anion corrections = -421 meV/atom

Cell lengths 6.5623, 6.5623, 6.5623 Å; angles 145.40, 145.40, 49.74 degrees
Sites, in units of the cell vectors:
Sc1 0.0000 0.0000 0.0000
Rh1 0.2500 0.7500 0.5000
Rh2 0.7500 0.2500 0.5000
Se1 0.3826 0.3826 0.0000
Se2 0.6174 0.6174 0.0000

Computed, not measured: a relaxed RbTlCdSi2 crystal at the PBE-GGA level of DFT.

Calculated values
Uncorrected energy = -1.48 eV per atom
Formation energy without anion corrections = 1541 meV/atom

Cell lengths 5.8536, 5.8536, 6.1883 Å; angles 90.00, 90.00, 90.00 degrees
Sites, in units of the cell vectors:
Rb1 0.0000 0.0000 0.0000
Tl1 0.5000 0.5000 0.5000
Cd1 0.0000 0.0000 0.5000
Si1 0.0000 0.5000 0.0000
Si2 0.5000 0.0000 0.0000

Computed, not measured: a relaxed EuDyGaPd crystal at the PBE-GGA level of DFT.

Calculated values
Uncorrected energy = -6.35 eV per atom
Formation enthalpy at 0 K = -0.579 eV per atom

Cell lengths 5.1068, 5.1068, 5.1068 Å; angles 60.00, 60.00, 60.00 degrees
Sites, in units of the cell vectors:
Eu1 0.0000 0.0000 0.0000
Dy1 0.5000 0.5000 0.5000
Ga1 0.7500 0.7500 0.7500
Pd1 0.2500 0.2500 0.2500

Computed, not measured: a relaxed Pr4SbBr5 crystal at the PBE-GGA level of DFT.

Calculated values
Uncorrected energy = -4.47 eV per atom
Formation energy without anion corrections = -1310 meV/atom

Cell lengths 9.3727, 10.4851, 7.0591 Å; angles 90.00, 90.00, 90.00 degrees
Sites, in units of the cell vectors:
Pr1 0.0487 0.2500 0.0181
Pr2 0.2500 0.0186 0.6273
Pr3 0.2500 0.4814 0.6273
Pr4 0.4513 0.2500 0.0181
Pr5 0.5487 0.7500 0.9819
Pr6 0.7500 0.5186 0.3727
Pr7 0.7500 0.9814 0.3727
Pr8 0.9513 0.7500 0.9819
Sb1 0.2500 0.7500 0.7818
Sb2 0.7500 0.2500 0.2182
Br1 0.0532 0.5500 0.2534
Br2 0.0532 0.9500 0.2534
Br3 0.2500 0.2500 0.3523
Br4 0.4468 0.5500 0.2534
Br5 0.4468 0.9500 0.2534
Br6 0.5532 0.0500 0.7466
Br7 0.5532 0.4500 0.7466
Br8 0.7500 0.7500 0.6477
Br9 0.9468 0.0500 0.7466
Br10 0.9468 0.4500 0.7466

Computed, not measured: a relaxed KCrTc2 crystal at the PBE-GGA level of DFT.

Calculated values
Uncorrected energy = -6.41 eV per atom
Formation enthalpy at 0 K = 1.454 eV per atom

Cell lengths 2.8623, 4.7818, 5.1064 Å; angles 90.00, 90.00, 90.00 degrees
Sites, in units of the cell vectors:
K1 0.0000 0.0000 0.0000
Cr1 0.5000 0.5000 0.0000
Tc1 0.0000 0.5000 0.5000
Tc2 0.5000 0.0000 0.5000

Computed, not measured: a relaxed HfSbI2O crystal at the PBE-GGA level of DFT.

Calculated values
Uncorrected energy = -4.02 eV per atom
Formation energy without anion corrections = 404 meV/atom

Cell lengths 5.0748, 5.0748, 4.5964 Å; angles 90.00, 90.00, 90.00 degrees
Sites, in units of the cell vectors:
Hf1 0.0000 0.0000 0.0000
Sb1 0.5000 0.5000 0.0000
I1 0.0000 0.5000 0.5000
I2 0.5000 0.0000 0.5000
O1 0.5000 0.5000 0.5000

Computed, not measured: a relaxed BaLiAl crystal at the PBE-GGA level of DFT.

Calculated values
Uncorrected energy = -2.61 eV per atom
Formation enthalpy at 0 K = -0.082 eV per atom

Cell lengths 4.5102, 4.5102, 11.0957 Å; angles 101.69, 101.69, 59.95 degrees
Sites, in units of the cell vectors:
Ba1 0.2271 0.2271 0.1824
Ba2 0.7729 0.7729 0.8176
Li1 0.0373 0.0373 0.6115
Li2 0.9627 0.9627 0.3885
Al1 0.3469 0.3469 0.5406
Al2 0.6531 0.6531 0.4594

Computed, not measured: a relaxed InGa3Sb crystal at the PBE-GGA level of DFT.

Calculated values
Uncorrected energy = -2.71 eV per atom
Formation energy without anion corrections = 475 meV/atom

Cell lengths 5.2314, 5.2314, 5.2314 Å; angles 90.00, 90.00, 90.00 degrees
Sites, in units of the cell vectors:
In1 0.0000 0.0000 0.0000
Ga1 0.0000 0.0000 0.5000
Ga2 0.0000 0.5000 0.0000
Ga3 0.5000 0.0000 0.0000
Sb1 0.5000 0.5000 0.5000